Tm2Ge4PtRh3 | PBE-GGA | relaxed

For the magnetic moment, the calculation gives 0.0 μB/f.u. The space-group type is No. 115. The energy of formation from the pure elements comes out at -0.82 eV/atom.

Unit cell a=4.134 b=4.134 c=10.405 alpha=90.00 beta=90.00 gamma=90.00
Fractional coordinates of all 10 atoms:
Tm: 0.000 0.500 0.243
Tm: 0.500 0.000 0.757
Ge: 0.000 0.000 0.000
Ge: 0.000 0.500 0.638
Ge: 0.500 0.000 0.362
Ge: 0.500 0.500 0.000
Pt: 0.000 0.000 0.500
Rh: 0.000 0.500 0.868
Rh: 0.500 0.000 0.132
Rh: 0.500 0.500 0.500

=====

U2Ge4PtRh3 | PBE-GGA | relaxed

For the magnetic moment, the calculation gives 4.6 μB/f.u. The space-group type is No. 115. The energy of formation from the pure elements comes out at -0.54 eV/atom.

Unit cell a=4.169 b=4.169 c=10.337 alpha=90.00 beta=90.00 gamma=90.00
Fractional coordinates of all 10 atoms:
U: 0.000 0.500 0.242
U: 0.500 0.000 0.758
Ge: 0.000 0.000 0.000
Ge: 0.000 0.500 0.638
Ge: 0.500 0.000 0.362
Ge: 0.500 0.500 0.000
Pt: 0.000 0.000 0.500
Rh: 0.000 0.500 0.870
Rh: 0.500 0.000 0.130
Rh: 0.500 0.500 0.500

=====

U2Ge4Pt3Rh | PBE-GGA | relaxed

For the magnetic moment, the calculation gives 4.7 μB/f.u. The space-group type is No. 115. The energy of formation from the pure elements comes out at -0.56 eV/atom.

Unit cell a=4.113 b=4.113 c=10.929 alpha=90.00 beta=90.00 gamma=90.00
Fractional coordinates of all 10 atoms:
U: 0.000 0.500 0.242
U: 0.500 0.000 0.758
Ge: 0.000 0.000 0.500
Ge: 0.000 0.500 0.866
Ge: 0.500 0.000 0.134
Ge: 0.500 0.500 0.500
Pt: 0.000 0.000 0.000
Pt: 0.000 0.500 0.643
Pt: 0.500 0.000 0.357
Rh: 0.500 0.500 0.000

=====

V2GePtRh | PBE-GGA | relaxed

For the magnetic moment, the calculation gives 0.0 μB/f.u. The space-group type is No. 123. The energy of formation from the pure elements comes out at 1.09 eV/atom.

Unit cell a=4.660 b=4.660 c=4.550 alpha=90.00 beta=90.00 gamma=90.00
Fractional coordinates of all 5 atoms:
V: 0.000 0.500 0.000
V: 0.500 0.000 0.000
Ge: 0.000 0.000 0.500
Pt: 0.000 0.000 0.000
Rh: 0.500 0.500 0.500

=====

Among the records above, which one has the highest energy of formation from the pure elements? V2GePtRh